Compound: KTl2Sb
Source: Alexandria
Functional: PBE
Structure: optimized geometry Values from VASP.

## Properties
* calculated volume: 35.6 Å³ per atom
* theoretical density: 6.65 g/cm3
* raw total energy: -2.71 eV/atom
* ΔE_f (raw): -226 meV/atom

Quantum ESPRESSO input file:
```
&SYSTEM
  ibrav = 0, nat = 8, ntyp = 3
/
ATOMIC_SPECIES
Tl 204.38 Tl.upf
Sb 121.76 Sb.upf
K 39.10 K.upf
ATOMIC_POSITIONS crystal
Tl 0.6356 0.2713 0.4521
Tl 0.6356 0.2713 0.0479
Tl 0.3644 0.7287 0.5479
Tl 0.3644 0.7287 0.9521
Sb 0.2139 0.4278 0.2500
Sb 0.7861 0.5722 0.7500
K 0.0726 0.1451 0.7500
K 0.9274 0.8549 0.2500
CELL_PARAMETERS angstrom
-1.7375 -4.0943 2.1109
-0.6252 -0.2134 -6.6697
8.3831 -3.8984 -0.6611
```